DFT (GGA-PBE) results for crystalline TaBeMo at its relaxed geometry.

The space group is P-1 (No. 2) and the conventional cell measures 2.741, 5.462 and 6.122 Å, with angles of 100.69, 100.70 and 101.16 degrees. Symmetry generates all atoms from Ta at (0.153, 0.074, 0.292), Be at (0.497, 0.713, 0.000) and Mo at (0.155, 0.579, 0.307).

The calculated total energy is -8.788 eV per atom. The density of states at the Fermi level is 1.79 states/eV/f.u. The energy above the lowest structure with this stoichiometry is 187.4 meV/atom. The calculation puts the formation energy from the elements at 0.0 eV/f.u.

DFT (GGA-PBE) results for crystalline TaBeMo2 at its relaxed geometry.

The space group is P2/m (No. 10) and the conventional cell measures 2.710, 4.415 and 5.149 Å, with angles of 90.00, 99.06 and 90.00 degrees. Symmetry generates all atoms from Ta at (0.000, 0.000, 0.000), Be at (0.500, 0.000, 0.500) and Mo at (0.264, 0.500, 0.743).

The calculated total energy is -9.166 eV per atom. The density of states at the Fermi level is 2.71 states/eV/f.u. The calculation puts the formation energy from the elements at 0.6 eV/f.u.

DFT (GGA-PBE) results for crystalline TaBe3Mo at its relaxed geometry.

The space group is Pm-3m (No. 221) and the conventional cell measures 4.248, 4.248 and 4.248 Å, with angles of 90.00, 90.00 and 90.00 degrees. Symmetry generates all atoms from Ta at (0.000, 0.000, 0.000), Be at (0.000, 0.000, 0.500) and Mo at (0.500, 0.500, 0.500).

The calculated total energy is -5.010 eV per atom. The density of states at the Fermi level is 9.74 states/eV/f.u. The energy above the lowest structure with this stoichiometry is 741.9 meV/atom. The calculation puts the formation energy from the elements at 8.8 eV/f.u.

DFT (GGA-PBE) results for crystalline Ta2BeMo at its relaxed geometry.

The space group is P4mm (No. 99) and the conventional cell measures 3.237, 3.237 and 5.889 Å, with angles of 90.00, 90.00 and 90.00 degrees. Symmetry generates all atoms from Ta at (0.000, 0.000, 0.000), Ta at (0.500, 0.500, 0.293), Be at (0.000, 0.000, 0.525) and Mo at (0.500, 0.500, 0.728).

The calculated total energy is -9.577 eV per atom. The density of states at the Fermi level is 3.02 states/eV/f.u. The calculation puts the formation energy from the elements at 0.0 eV/f.u.

DFT (GGA-PBE) results for crystalline Ta2BeMo at its relaxed geometry.

The space group is Imm2 (No. 44) and the conventional cell measures 3.308, 4.383 and 8.722 Å, with angles of 90.00, 90.00 and 90.00 degrees. Symmetry generates all atoms from Ta at (0.000, 0.000, 0.000), Ta at (0.000, 0.500, 0.238), Be at (0.000, 0.500, 0.755) and Mo at (0.000, 0.000, 0.493).

The calculated total energy is -9.441 eV per atom. The density of states at the Fermi level is 3.78 states/eV/f.u. The calculation puts the formation energy from the elements at 0.5 eV/f.u.

DFT (GGA-PBE) results for crystalline Ta3BeMo at its relaxed geometry.

The space group is Pm-3m (No. 221) and the conventional cell measures 4.804, 4.804 and 4.804 Å, with angles of 90.00, 90.00 and 90.00 degrees. Symmetry generates all atoms from Ta at (0.000, 0.000, 0.500), Be at (0.500, 0.500, 0.500) and Mo at (0.000, 0.000, 0.000).

The calculated total energy is -8.291 eV per atom. The density of states at the Fermi level is 3.90 states/eV/f.u. The energy above the lowest structure with this stoichiometry is 1066.1 meV/atom. The calculation puts the formation energy from the elements at 8.7 eV/f.u.

DFT (GGA-PBE) results for crystalline TaBeMo2 at its relaxed geometry.

The space group is Cm (No. 8) and the conventional cell measures 9.518, 3.290 and 4.318 Å, with angles of 90.00, 116.02 and 90.00 degrees. Symmetry generates all atoms from Ta at (0.000, 0.000, 0.000), Be at (0.263, 0.500, 0.263), Mo at (0.013, 0.500, 0.510) and Mo at (0.250, 0.000, 0.750).

The calculated total energy is -9.193 eV per atom. The density of states at the Fermi level is 2.72 states/eV/f.u. The calculation puts the formation energy from the elements at 0.5 eV/f.u.

DFT (GGA-PBE) results for crystalline TaBe2Mo at its relaxed geometry.

The space group is P4mm (No. 99) and the conventional cell measures 2.697, 2.697 and 7.055 Å, with angles of 90.00, 90.00 and 90.00 degrees. Symmetry generates all atoms from Ta at (0.000, 0.000, 0.000), Be at (0.000, 0.000, 0.409), Be at (0.500, 0.500, 0.254) and Mo at (0.500, 0.500, 0.657).

The calculated total energy is -7.482 eV per atom. The density of states at the Fermi level is 1.96 states/eV/f.u. The energy above the lowest structure with this stoichiometry is 287.5 meV/atom. The calculation puts the formation energy from the elements at 0.2 eV/f.u.